Entry 1:
6
Lattice="-1.675 1.675 12.346 1.675 -1.675 12.346 1.675 1.675 -12.346" Properties=species:S:1:pos:R:3 comment="LiPuSn, optimized geometry, DFT PBE" delta_e_f_ev_per_atom=-0.136 space_group="I4/mmm (139)" volume_a3_per_atom=23.08 n_ef_per_ev_cell=13.12 pbc="T T T"
Li 0.000 0.000 5.418
Li 0.000 0.000 19.275
Pu 0.000 0.000 1.521
Pu 0.000 0.000 23.171
Sn 0.000 0.000 8.542
Sn 0.000 0.000 16.151



Entry 2:
5
Lattice="4.689 0.000 0.000 0.000 4.689 0.000 0.000 0.000 4.689" Properties=species:S:1:pos:R:3 comment="CuP3W, optimized geometry, DFT PBE" delta_e_f_ev_per_atom=0.785 space_group="Pm-3m (221)" volume_a3_per_atom=20.63 n_ef_per_ev_cell=2.96 pbc="T T T"
Cu 0.000 0.000 0.000
P 0.000 2.345 2.345
P 2.345 0.000 2.345
P 2.345 2.345 0.000
W 2.345 2.345 2.345



Entry 3:
11
Lattice="5.510 0.000 0.000 -2.628 4.940 0.000 -0.335 -2.920 7.791" Properties=species:S:1:pos:R:3 comment="PuGa2Au8, optimized geometry, DFT PBE" delta_e_f_ev_per_atom=-0.241 space_group="P-1 (2)" volume_a3_per_atom=19.28 n_ef_per_ev_cell=16.89 pbc="T T T"
Pu 0.000 0.000 0.000
Ga 1.121 -0.474 5.579
Ga 1.425 2.495 2.213
Au -1.423 2.678 2.461
Au 0.208 0.329 3.130
Au -0.231 0.289 7.775
Au -0.500 2.067 5.483
Au 3.046 -0.047 2.308
Au 2.777 1.731 0.016
Au 2.339 1.691 4.661
Au 3.970 -0.658 5.331



Entry 4:
4
Lattice="5.094 0.000 0.000 0.000 4.038 0.000 -2.540 0.000 5.391" Properties=species:S:1:pos:R:3 comment="Te2MoCl, optimized geometry, DFT PBE" e_form_raw_mev_per_atom=-70 space_group="P2/m (10)" volume_a3_per_atom=27.72 n_ef_per_ev_cell=1.89 pbc="T T T"
Te 0.001 0.000 1.863
Te 2.553 0.000 3.528
Mo 0.000 2.019 0.000
Cl 2.547 2.019 0.000



Entry 5:
18
Lattice="2.038 -8.820 0.000 2.038 8.820 0.000 0.000 0.000 13.061" Properties=species:S:1:pos:R:3 comment="Ba2NpBeS5, optimized geometry, DFT PBE" e_form_raw_mev_per_atom=-1571 space_group="Cmc2_1 (36)" volume_a3_per_atom=26.09 n_ef_per_ev_cell=20.52 pbc="T T T"
Ba 2.038 6.736 6.530
Ba 2.038 6.685 1.892
Ba 2.038 -6.685 8.422
Ba 2.038 -6.736 0.000
Np 2.038 5.448 10.880
Np 2.038 -5.448 4.349
Be 2.038 1.111 2.933
Be 2.038 -1.111 9.463
S 2.038 8.068 10.556
S 2.038 3.453 6.138
S 2.038 3.241 2.508
S 2.038 2.831 10.757
S 2.038 0.067 1.186
S 2.038 -0.067 7.717
S 2.038 -2.831 4.226
S 2.038 -3.241 9.039
S 2.038 -3.453 12.668
S 2.038 -8.068 4.025



Entry 6:
6
Lattice="0.000 4.400 4.400 4.400 0.000 4.400 4.400 4.400 0.000" Properties=species:S:1:pos:R:3 comment="AlTe4Pt, optimized geometry, DFT PBE" e_form_raw_mev_per_atom=811 space_group="F-43m (216)" volume_a3_per_atom=28.40 n_ef_per_ev_cell=7.64 pbc="T T T"
Al 0.000 0.000 0.000
Te 3.318 3.318 3.318
Te 5.483 5.483 3.318
Te 5.483 3.318 5.483
Te 3.318 5.483 5.483
Pt 6.600 6.600 6.600